Entry from Alexandria: a crystal of YRuPt2 relaxed with PBEsol (SCAN).

Symmetry ... Fm-3m, No. 225
Density ... 14.03 g cm⁻³
Formation energy ... -0.3476 eV/atom
Crystal system ... cubic

a = 4.5968 Å, b = 4.5968 Å, c = 4.5968 Å
α = 60.00°, β = 60.00°, γ = 60.00°
Each line ends with the local moment (μB).
Element x y z (fractional)
1 Pt 0.7500 0.7500 0.7500  0.10
2 Pt 0.2500 0.2500 0.2500  0.10
3 Y 0.5000 0.5000 0.5000  0.01
4 Ru 0.0000 0.0000 0.0000  1.04

***

Entry from Alexandria: a crystal of RbAlCl4 relaxed with PBEsol (SCAN).

Symmetry ... Pnma, No. 62
Density ... 2.36 g cm⁻³
Crystal system ... orthorhombic
Formation energy without anion corrections ... -1.981 eV/atom

a = 6.9761 Å, b = 9.2274 Å, c = 11.1264 Å
α = 90.00°, β = 90.00°, γ = 90.00°
Element x y z (fractional)
1 Cl 0.2500 0.0408 0.2116
2 Cl 0.4991 0.3267 0.0792
3 Cl 0.2500 0.0862 0.8924
4 Cl 0.0009 0.3267 0.0792
5 Cl 0.0009 0.1733 0.5792
6 Cl 0.7500 0.9138 0.1076
7 Cl 0.7500 0.9592 0.7884
8 Cl 0.9991 0.8267 0.4208
9 Cl 0.7500 0.5862 0.6076
10 Cl 0.7500 0.5407 0.2884
11 Cl 0.9991 0.6733 0.9208
12 Cl 0.4991 0.1733 0.5792
13 Cl 0.5009 0.6733 0.9208
14 Cl 0.5009 0.8267 0.4208
15 Cl 0.2500 0.4138 0.3924
16 Cl 0.2500 0.4592 0.7116
17 Rb 0.7500 0.3294 0.8166
18 Rb 0.7500 0.1706 0.3166
19 Rb 0.2500 0.6706 0.1834
20 Rb 0.2500 0.8294 0.6834
21 Al 0.2500 0.1900 0.0639
22 Al 0.2500 0.3100 0.5639
23 Al 0.7500 0.6900 0.4361
24 Al 0.7500 0.8100 0.9361

***

Entry from Alexandria: a crystal of Hf3SeCl relaxed with PBEsol (SCAN).

Symmetry ... Pm-3m, No. 221
Density ... 10.50 g cm⁻³
Crystal system ... cubic
Polymorph energy (0 for the lowest one) ... 0 meV/atom
Formation energy without anion corrections ... 0.353 eV/atom

a = 4.6849 Å, b = 4.6849 Å, c = 4.6849 Å
α = 90.00°, β = 90.00°, γ = 90.00°
Element x y z (fractional)
1 Se 0.5000 0.5000 0.5000
2 Cl 0.0000 0.0000 0.0000
3 Hf 0.0000 0.5000 0.0000
4 Hf 0.5000 0.0000 0.0000
5 Hf 0.0000 0.0000 0.5000

***

Entry from Alexandria: a crystal of LiTaTl4 relaxed with PBEsol (SCAN).

Symmetry ... F-43m, No. 216
Density ... 11.09 g cm⁻³
Formation energy ... 0.8093 eV/atom
Crystal system ... cubic

a = 5.9707 Å, b = 5.9707 Å, c = 5.9707 Å
α = 60.00°, β = 60.00°, γ = 60.00°
Each line ends with the local moment (μB).
Element x y z (fractional)
1 Tl 0.3748 0.8756 0.3748  -0.02
2 Tl 0.3748 0.3748 0.8756  -0.02
3 Tl 0.8756 0.3748 0.3748  -0.02
4 Tl 0.3748 0.3748 0.3748  -0.02
5 Li 0.7500 0.7500 0.7500  0.01
6 Ta 0.0000 0.0000 0.0000  1.64

***

Entry from Alexandria: a crystal of BaTa2Re relaxed with PBEsol (SCAN).

Symmetry ... Cm, No. 8
Density ... 11.43 g cm⁻³
Formation energy ... 0.7386 eV/atom
Crystal system ... monoclinic

a = 3.2359 Å, b = 4.8768 Å, c = 6.7137 Å
α = 94.86°, β = 90.00°, γ = 109.38°
Element x y z (fractional)
1 Ta 0.7316 0.4632 0.1425
2 Ta 0.9946 0.9893 0.9863
3 Ba 0.5097 0.0193 0.5093
4 Re 0.2641 0.5282 0.8619

***

Entry from Alexandria: a crystal of Sr2BCl relaxed with PBEsol (SCAN).

Symmetry ... Fm-3m, No. 225
Density ... 3.87 g cm⁻³
Crystal system ... cubic
Formation energy without anion corrections ... -0.396 eV/atom

a = 5.1228 Å, b = 5.1228 Å, c = 5.1228 Å
α = 60.00°, β = 60.00°, γ = 60.00°
Each line ends with the local moment (μB).
Element x y z (fractional)
1 Sr 0.7500 0.7500 0.7500  0.08
2 Sr 0.2500 0.2500 0.2500  0.08
3 B 0.0000 0.0000 0.0000  0.56
4 Cl 0.5000 0.5000 0.5000  0.07

***

Entry from Alexandria: a crystal of As2SIBr relaxed with PBEsol (SCAN).

Symmetry ... P4/mmm, No. 123
Density ... 5.36 g cm⁻³
Crystal system ... tetragonal
Formation energy without anion corrections ... 0.701 eV/atom

a = 4.9663 Å, b = 4.9663 Å, c = 4.8834 Å
α = 90.00°, β = 90.00°, γ = 90.00°
Element x y z (fractional)
1 I 0.5000 0.5000 0.5000
2 S 0.0000 0.0000 0.0000
3 Br 0.0000 0.0000 0.5000
4 As 0.5000 0.0000 0.0000
5 As 0.0000 0.5000 0.0000

***

Entry from Alexandria: a crystal of Ta3GeSb relaxed with PBEsol (SCAN).

Symmetry ... Pm-3m, No. 221
Density ... 11.67 g cm⁻³
Crystal system ... cubic
Formation energy without anion corrections ... 1.089 eV/atom

a = 4.7162 Å, b = 4.7162 Å, c = 4.7162 Å
α = 90.00°, β = 90.00°, γ = 90.00°
Element x y z (fractional)
1 Sb 0.5000 0.5000 0.5000
2 Ta 0.0000 0.0000 0.5000
3 Ta 0.0000 0.5000 0.0000
4 Ta 0.5000 0.0000 0.0000
5 Ge 0.0000 0.0000 0.0000

***

Entry from Alexandria: a crystal of TaReSe relaxed with PBEsol (SCAN).

Symmetry ... F-43m, No. 216
Density ... 13.57 g cm⁻³
Crystal system ... cubic
Formation energy without anion corrections ... 0.196 eV/atom

a = 4.2578 Å, b = 4.2578 Å, c = 4.2578 Å
α = 60.00°, β = 60.00°, γ = 60.00°
Element x y z (fractional)
1 Re 0.7500 0.7500 0.7500
2 Ta 0.5000 0.5000 0.5000
3 Se 0.0000 0.0000 0.0000

***

Entry from Alexandria: a crystal of Ca2Mg2Zn relaxed with PBEsol (SCAN).

Symmetry ... P2_1/m, No. 11
Density ... 2.46 g cm⁻³
Formation energy ... -0.1116 eV/atom
Crystal system ... monoclinic
Polymorph energy (0 for the lowest one) ... 26 meV/atom

a = 3.6570 Å, b = 5.3741 Å, c = 13.5128 Å
α = 99.89°, β = 90.00°, γ = 90.00°
Element x y z (fractional)
1 Ca 0.8457 0.4047 0.3723
2 Ca 0.3457 0.1763 0.8087
3 Ca 0.8457 0.8237 0.1913
4 Ca 0.3457 0.5953 0.6277
5 Mg 0.8457 0.2582 0.0268
6 Mg 0.8456 0.0783 0.5891
7 Mg 0.3456 0.9217 0.4109
8 Mg 0.3457 0.7418 0.9732
9 Zn 0.3458 0.3163 0.1877
10 Zn 0.8458 0.6837 0.8123

***

Entry from Alexandria: a crystal of Tc2OsPb relaxed with PBEsol (SCAN).

Symmetry ... R-3m, No. 166
Density ... 15.19 g cm⁻³
Formation energy ... 0.6283 eV/atom
Crystal system ... trigonal

a = 2.8764 Å, b = 2.8764 Å, c = 9.2073 Å
α = 81.01°, β = 81.01°, γ = 60.00°
Element x y z (fractional)
1 Tc 0.2427 0.2427 0.2719
2 Tc 0.7573 0.7573 0.7281
3 Pb 0.0000 0.0000 0.0000
4 Os 0.5000 0.5000 0.5000

***

Entry from Alexandria: a crystal of LaZrCr3 relaxed with PBEsol (SCAN).

Symmetry ... Pm-3m, No. 221
Density ... 5.81 g cm⁻³
Formation energy ... 0.9391 eV/atom
Crystal system ... cubic

a = 4.7977 Å, b = 4.7977 Å, c = 4.7977 Å
α = 90.00°, β = 90.00°, γ = 90.00°
Each line ends with the local moment (μB).
Element x y z (fractional)
1 Cr 0.5000 0.0000 0.0000  3.20
2 Cr 0.0000 0.0000 0.5000  3.20
3 Cr 0.0000 0.5000 0.0000  3.20
4 Zr 0.0000 0.0000 0.0000  -0.46
5 La 0.5000 0.5000 0.5000  -0.06

***

Which final energy belongs to each record? In order, -51.111 -12.048 -42.862 -58.925 -60.215 -15.385 -20.541 -50.131 -52.390 -8.669 -53.817 -24.852 eV per atom.